Entry 1:
# La2InGe4Pd3 | the Alexandria database | PBE-GGA | relaxed
# * crystal system: tetragonal
# * energy relative to the elements: -0.769 eV/atom
data_La2InGe4Pd3
_symmetry_space_group_name_H-M 'P -4 m 2'
_symmetry_Int_Tables_number 115
_symmetry_space_group_name_Hall 'P -4 -2'
_cell_length_a 4.3660
_cell_length_b 4.3660
_cell_length_c 10.8439
_cell_angle_alpha 90.00
_cell_angle_beta 90.00
_cell_angle_gamma 90.00
loop_
_atom_site_label
_atom_site_type_symbol
_atom_site_fract_x
_atom_site_fract_y
_atom_site_fract_z
_atom_site_occupancy
La1 La 0.0000 0.5000 0.2365 1
In1 In 0.0000 0.0000 0.5000 1
Ge1 Ge 0.0000 0.0000 0.0000 1
Ge2 Ge 0.0000 0.5000 0.6506 1
Ge3 Ge 0.5000 0.5000 0.0000 1
Pd1 Pd 0.0000 0.5000 0.8781 1
Pd2 Pd 0.5000 0.5000 0.5000 1

=====

Entry 2:
# NdMg2SiPt2 | the Alexandria database | PBE-GGA | relaxed
# * crystal system: tetragonal
# * raw formation energy: -3.1 eV per formula unit
data_NdMg2SiPt2
_symmetry_space_group_name_H-M 'I 4/m m m'
_symmetry_Int_Tables_number 139
_symmetry_space_group_name_Hall '-I 4 2'
_cell_length_a 5.0967
_cell_length_b 5.0967
_cell_length_c 10.6253
_cell_angle_alpha 90.00
_cell_angle_beta 90.00
_cell_angle_gamma 90.00
loop_
_atom_site_label
_atom_site_type_symbol
_atom_site_fract_x
_atom_site_fract_y
_atom_site_fract_z
_atom_site_occupancy
Nd1 Nd 0.0000 0.0000 0.0000 1
Mg1 Mg 0.0000 0.5000 0.2500 1
Si1 Si 0.0000 0.0000 0.5000 1
Pt1 Pt 0.0000 0.0000 0.2874 1

=====

Entry 3:
# RbIn3Pd | the Alexandria database | PBE-GGA | relaxed
# * crystal system: cubic
# * energy relative to the elements: -0.158 eV/atom
data_RbIn3Pd
_symmetry_space_group_name_H-M 'P m -3 m'
_symmetry_Int_Tables_number 221
_symmetry_space_group_name_Hall '-P 4 2 3'
_cell_length_a 5.3532
_cell_length_b 5.3532
_cell_length_c 5.3532
_cell_angle_alpha 90.00
_cell_angle_beta 90.00
_cell_angle_gamma 90.00
loop_
_atom_site_label
_atom_site_type_symbol
_atom_site_fract_x
_atom_site_fract_y
_atom_site_fract_z
_atom_site_occupancy
Rb1 Rb 0.0000 0.0000 0.0000 1
In1 In 0.0000 0.5000 0.5000 1
Pd1 Pd 0.5000 0.5000 0.5000 1

=====

Entry 4:
# Y2Cd | the Alexandria database | PBE-GGA | relaxed
# * crystal system: orthorhombic
# * energy relative to the elements: -0.243 eV/atom
data_Y2Cd
_symmetry_space_group_name_H-M 'C m c m'
_symmetry_Int_Tables_number 63
_symmetry_space_group_name_Hall '-C 2c 2'
_cell_length_a 3.7308
_cell_length_b 16.9316
_cell_length_c 5.3928
_cell_angle_alpha 90.00
_cell_angle_beta 90.00
_cell_angle_gamma 90.00
loop_
_atom_site_label
_atom_site_type_symbol
_atom_site_fract_x
_atom_site_fract_y
_atom_site_fract_z
_atom_site_occupancy
Y1 Y 0.0000 0.0857 0.2500 1
Y2 Y 0.0000 0.2249 0.7500 1
Cd1 Cd 0.0000 0.4291 0.2500 1

=====

Entry 5:
# BeW | the Alexandria database | PBE-GGA | relaxed
# * crystal system: tetragonal
# * energy relative to the elements: 0.348 eV/atom
data_BeW
_symmetry_space_group_name_H-M 'I 4/m'
_symmetry_Int_Tables_number 87
_symmetry_space_group_name_Hall '-I 4'
_cell_length_a 6.5454
_cell_length_b 6.5454
_cell_length_c 4.6621
_cell_angle_alpha 90.00
_cell_angle_beta 90.00
_cell_angle_gamma 90.00
loop_
_atom_site_label
_atom_site_type_symbol
_atom_site_fract_x
_atom_site_fract_y
_atom_site_fract_z
_atom_site_occupancy
Be1 Be 0.0772 0.7929 0.0000 1
W1 W 0.0605 0.7007 0.5000 1

=====

Entry 6:
# CaTaIr2 | the Alexandria database | PBE-GGA | relaxed
# * crystal system: orthorhombic
# * energy relative to the elements: -0.272 eV/atom
data_CaTaIr2
_symmetry_space_group_name_H-M 'C m m m'
_symmetry_Int_Tables_number 65
_symmetry_space_group_name_Hall '-C 2 2'
_cell_length_a 6.3747
_cell_length_b 7.2737
_cell_length_c 3.0026
_cell_angle_alpha 90.00
_cell_angle_beta 90.00
_cell_angle_gamma 90.00
loop_
_atom_site_label
_atom_site_type_symbol
_atom_site_fract_x
_atom_site_fract_y
_atom_site_fract_z
_atom_site_occupancy
Ca1 Ca 0.0000 0.0000 0.0000 1
Ta1 Ta 0.0000 0.5000 0.0000 1
Ir1 Ir 0.2500 0.2500 0.5000 1

=====

Entry 7:
# ZnPtI3 | the Alexandria database | PBE-GGA | relaxed
# * crystal system: cubic
# * raw formation energy: 1.0 eV per formula unit
data_ZnPtI3
_symmetry_space_group_name_H-M 'P m -3 m'
_symmetry_Int_Tables_number 221
_symmetry_space_group_name_Hall '-P 4 2 3'
_cell_length_a 5.5135
_cell_length_b 5.5135
_cell_length_c 5.5135
_cell_angle_alpha 90.00
_cell_angle_beta 90.00
_cell_angle_gamma 90.00
loop_
_atom_site_label
_atom_site_type_symbol
_atom_site_fract_x
_atom_site_fract_y
_atom_site_fract_z
_atom_site_occupancy
Zn1 Zn 0.0000 0.0000 0.0000 1
Pt1 Pt 0.5000 0.5000 0.5000 1
I1 I 0.0000 0.5000 0.5000 1

=====

Entry 8:
# Pm2TaGe3Ir4 | the Alexandria database | PBE-GGA | relaxed
# * crystal system: tetragonal
# * energy relative to the elements: -0.755 eV/atom
data_Pm2TaGe3Ir4
_symmetry_space_group_name_H-M 'P -4 m 2'
_symmetry_Int_Tables_number 115
_symmetry_space_group_name_Hall 'P -4 -2'
_cell_length_a 4.2028
_cell_length_b 4.2028
_cell_length_c 10.7152
_cell_angle_alpha 90.00
_cell_angle_beta 90.00
_cell_angle_gamma 90.00
loop_
_atom_site_label
_atom_site_type_symbol
_atom_site_fract_x
_atom_site_fract_y
_atom_site_fract_z
_atom_site_occupancy
Pm1 Pm 0.0000 0.5000 0.2385 1
Ta1 Ta 0.0000 0.0000 0.5000 1
Ge1 Ge 0.0000 0.5000 0.8714 1
Ge2 Ge 0.5000 0.5000 0.5000 1
Ir1 Ir 0.0000 0.0000 0.0000 1
Ir2 Ir 0.0000 0.5000 0.6397 1
Ir3 Ir 0.5000 0.5000 0.0000 1

=====

Entry 9:
# SrOsPt2 | the Alexandria database | PBE-GGA | relaxed
# * crystal system: orthorhombic
# * energy relative to the elements: 0.206 eV/atom
data_SrOsPt2
_symmetry_space_group_name_H-M 'I m m 2'
_symmetry_Int_Tables_number 44
_symmetry_space_group_name_Hall 'I 2 -2'
_cell_length_a 2.8335
_cell_length_b 4.9589
_cell_length_c 10.5963
_cell_angle_alpha 90.00
_cell_angle_beta 90.00
_cell_angle_gamma 90.00
loop_
_atom_site_label
_atom_site_type_symbol
_atom_site_fract_x
_atom_site_fract_y
_atom_site_fract_z
_atom_site_occupancy
Sr1 Sr 0.0000 0.0000 0.0000 1
Os1 Os 0.0000 0.5000 0.2235 1
Pt1 Pt 0.0000 0.0000 0.5081 1
Pt2 Pt 0.0000 0.5000 0.7725 1

=====

Entry 10:
# PrNdTm4S8 | the Alexandria database | PBE-GGA | relaxed
# * crystal system: trigonal
# * raw formation energy: -26.7 eV per formula unit
data_PrNdTm4S8
_symmetry_space_group_name_H-M 'R 3 m'
_symmetry_Int_Tables_number 160
_symmetry_space_group_name_Hall 'R 3 -2"'
_cell_length_a 8.0285
_cell_length_b 8.0285
_cell_length_c 20.0344
_cell_angle_alpha 90.00
_cell_angle_beta 90.00
_cell_angle_gamma 120.00
loop_
_atom_site_label
_atom_site_type_symbol
_atom_site_fract_x
_atom_site_fract_y
_atom_site_fract_z
_atom_site_occupancy
Pr1 Pr 0.0000 0.0000 0.0000 1
Nd1 Nd 0.0000 0.0000 0.3737 1
Tm1 Tm 0.0000 0.0000 0.7470 1
Tm2 Tm 0.1676 0.3352 0.2059 1
S1 S 0.0000 0.0000 0.1372 1
S2 S 0.0000 0.0000 0.6151 1
S3 S 0.0090 0.5045 0.1298 1
S4 S 0.1789 0.3579 0.9476 1

=====

Entry 11:
# V12MoW3 | the Alexandria database | PBE-GGA | relaxed
# * crystal system: tetragonal
# * energy relative to the elements: -0.047 eV/atom
data_V12MoW3
_symmetry_space_group_name_H-M 'P 4/m m m'
_symmetry_Int_Tables_number 123
_symmetry_space_group_name_Hall '-P 4 2'
_cell_length_a 4.2959
_cell_length_b 4.2959
_cell_length_c 12.2288
_cell_angle_alpha 90.00
_cell_angle_beta 90.00
_cell_angle_gamma 90.00
loop_
_atom_site_label
_atom_site_type_symbol
_atom_site_fract_x
_atom_site_fract_y
_atom_site_fract_z
_atom_site_occupancy
V1 V 0.0000 0.0000 0.0000 1
V2 V 0.0000 0.0000 0.2489 1
V3 V 0.0000 0.0000 0.5000 1
V4 V 0.0000 0.5000 0.1244 1
V5 V 0.0000 0.5000 0.3748 1
Mo1 Mo 0.5000 0.5000 0.0000 1
W1 W 0.5000 0.5000 0.2502 1
W2 W 0.5000 0.5000 0.5000 1

=====

Entry 12:
# Pm2TmMg9 | the Alexandria database | PBE-GGA | relaxed
# * crystal system: trigonal
# * energy relative to the elements: -0.028 eV/atom
data_Pm2TmMg9
_symmetry_space_group_name_H-M 'R -3 m'
_symmetry_Int_Tables_number 166
_symmetry_space_group_name_Hall '-R 3 2"'
_cell_length_a 6.0648
_cell_length_b 6.0648
_cell_length_c 29.2930
_cell_angle_alpha 90.00
_cell_angle_beta 90.00
_cell_angle_gamma 120.00
loop_
_atom_site_label
_atom_site_type_symbol
_atom_site_fract_x
_atom_site_fract_y
_atom_site_fract_z
_atom_site_occupancy
Pm1 Pm 0.0000 0.0000 0.1414 1
Tm1 Tm 0.0000 0.0000 0.0000 1
Mg1 Mg 0.0000 0.0000 0.3340 1
Mg2 Mg 0.0000 0.0000 0.5000 1
Mg3 Mg 0.0039 0.5020 0.9169 1

=====

Entry 13:
# Ba2MgBiH | the Alexandria database | PBE-GGA | relaxed
# * crystal system: tetragonal
# * total energy: -15.06 eV per cell
data_Ba2MgBiH
_symmetry_space_group_name_H-M 'P 4/m m m'
_symmetry_Int_Tables_number 123
_symmetry_space_group_name_Hall '-P 4 2'
_cell_length_a 5.6116
_cell_length_b 5.6116
_cell_length_c 4.8876
_cell_angle_alpha 90.00
_cell_angle_beta 90.00
_cell_angle_gamma 90.00
loop_
_atom_site_label
_atom_site_type_symbol
_atom_site_fract_x
_atom_site_fract_y
_atom_site_fract_z
_atom_site_occupancy
Ba1 Ba 0.0000 0.5000 0.0000 1
Mg1 Mg 0.0000 0.0000 0.5000 1
Bi1 Bi 0.5000 0.5000 0.5000 1
H1 H 0.0000 0.0000 0.0000 1

=====

Entry 14:
# SrSm3 | the Alexandria database | PBE-GGA | relaxed
# * crystal system: cubic
# * energy relative to the elements: 0.171 eV/atom
data_SrSm3
_symmetry_space_group_name_H-M 'P m -3 m'
_symmetry_Int_Tables_number 221
_symmetry_space_group_name_Hall '-P 4 2 3'
_cell_length_a 5.2862
_cell_length_b 5.2862
_cell_length_c 5.2862
_cell_angle_alpha 90.00
_cell_angle_beta 90.00
_cell_angle_gamma 90.00
loop_
_atom_site_label
_atom_site_type_symbol
_atom_site_fract_x
_atom_site_fract_y
_atom_site_fract_z
_atom_site_occupancy
Sr1 Sr 0.0000 0.0000 0.0000 1
Sm1 Sm 0.0000 0.5000 0.5000 1

=====

Entry 15:
# Y8TlSn5 | the Alexandria database | PBE-GGA | relaxed
# * crystal system: tetragonal
# * energy relative to the elements: -0.689 eV/atom
data_Y8TlSn5
_symmetry_space_group_name_H-M 'I -4'
_symmetry_Int_Tables_number 82
_symmetry_space_group_name_Hall 'I -4'
_cell_length_a 9.3059
_cell_length_b 9.3059
_cell_length_c 9.3274
_cell_angle_alpha 90.00
_cell_angle_beta 90.00
_cell_angle_gamma 90.00
loop_
_atom_site_label
_atom_site_type_symbol
_atom_site_fract_x
_atom_site_fract_y
_atom_site_fract_z
_atom_site_occupancy
Y1 Y 0.0701 0.3224 0.4470 1
Y2 Y 0.0720 0.1805 0.8067 1
Tl1 Tl 0.0000 0.0000 0.5000 1
Sn1 Sn 0.0000 0.5000 0.7500 1
Sn2 Sn 0.1256 0.2498 0.1265 1

=====

Entry 16:
# KSc2Pb | the Alexandria database | PBE-GGA | relaxed
# * crystal system: trigonal
# * energy relative to the elements: 0.246 eV/atom
data_KSc2Pb
_symmetry_space_group_name_H-M 'R -3 m'
_symmetry_Int_Tables_number 166
_symmetry_space_group_name_Hall '-R 3 2"'
_cell_length_a 3.4447
_cell_length_b 3.4447
_cell_length_c 35.7580
_cell_angle_alpha 90.00
_cell_angle_beta 90.00
_cell_angle_gamma 120.00
loop_
_atom_site_label
_atom_site_type_symbol
_atom_site_fract_x
_atom_site_fract_y
_atom_site_fract_z
_atom_site_occupancy
K1 K 0.0000 0.0000 0.0000 1
Sc1 Sc 0.0000 0.0000 0.0976 1
Pb1 Pb 0.0000 0.0000 0.5000 1

=====

Entry 17:
# SrCuNiRh | the Alexandria database | PBE-GGA | relaxed
# * crystal system: monoclinic
# * energy relative to the elements: -0.129 eV/atom
data_SrCuNiRh
_symmetry_space_group_name_H-M 'C 1 m 1'
_symmetry_Int_Tables_number 8
_symmetry_space_group_name_Hall 'C -2y'
_cell_length_a 7.3262
_cell_length_b 4.2379
_cell_length_c 5.7558
_cell_angle_alpha 90.00
_cell_angle_beta 115.26
_cell_angle_gamma 90.00
loop_
_atom_site_label
_atom_site_type_symbol
_atom_site_fract_x
_atom_site_fract_y
_atom_site_fract_z
_atom_site_occupancy
Sr1 Sr 0.0000 0.0000 0.0000 1
Cu1 Cu 0.3095 0.5000 0.4305 1
Ni1 Ni 0.0106 0.5000 0.5319 1
Rh1 Rh 0.1896 0.0000 0.5707 1

=====

Entry 18:
# K2Na5Hg | the Alexandria database | PBE-GGA | relaxed
# * crystal system: monoclinic
# * energy relative to the elements: -0.020 eV/atom
data_K2Na5Hg
_symmetry_space_group_name_H-M 'C 1 m 1'
_symmetry_Int_Tables_number 8
_symmetry_space_group_name_Hall 'C -2y'
_cell_length_a 13.7728
_cell_length_b 7.5480
_cell_length_c 7.5392
_cell_angle_alpha 90.00
_cell_angle_beta 123.19
_cell_angle_gamma 90.00
loop_
_atom_site_label
_atom_site_type_symbol
_atom_site_fract_x
_atom_site_fract_y
_atom_site_fract_z
_atom_site_occupancy
K1 K 0.0000 0.0000 0.0000 1
K2 K 0.0000 0.5000 0.4993 1
Na1 Na 0.0016 0.0000 0.5015 1
Na2 Na 0.2511 0.2498 0.0004 1
Na3 Na 0.2515 0.2497 0.5013 1
Hg1 Hg 0.4479 0.0000 0.9480 1

=====

Entry 19:
# Sc4InSn | the Alexandria database | PBE-GGA | relaxed
# * crystal system: orthorhombic
# * energy relative to the elements: -0.234 eV/atom
data_Sc4InSn
_symmetry_space_group_name_H-M 'C c c m'
_symmetry_Int_Tables_number 66
_symmetry_space_group_name_Hall '-C 2 2c'
_cell_length_a 6.7698
_cell_length_b 15.9111
_cell_length_c 5.5909
_cell_angle_alpha 90.00
_cell_angle_beta 90.00
_cell_angle_gamma 90.00
loop_
_atom_site_label
_atom_site_type_symbol
_atom_site_fract_x
_atom_site_fract_y
_atom_site_fract_z
_atom_site_occupancy
Sc1 Sc 0.1436 0.0688 0.0000 1
Sc2 Sc 0.1552 0.3480 0.5000 1
In1 In 0.2500 0.2500 0.0000 1
Sn1 Sn 0.0000 0.5000 0.2500 1

=====

Entry 20:
# Tm2Ni5Ge3H2 | the Alexandria database | PBE-GGA | relaxed
# * crystal system: tetragonal
# * total energy: -126.94 eV per cell
data_Tm2Ni5Ge3H2
_symmetry_space_group_name_H-M 'I 4/m m m'
_symmetry_Int_Tables_number 139
_symmetry_space_group_name_Hall '-I 4 2'
_cell_length_a 3.8783
_cell_length_b 3.8783
_cell_length_c 20.6628
_cell_angle_alpha 90.00
_cell_angle_beta 90.00
_cell_angle_gamma 90.00
loop_
_atom_site_label
_atom_site_type_symbol
_atom_site_fract_x
_atom_site_fract_y
_atom_site_fract_z
_atom_site_occupancy
Tm1 Tm 0.0000 0.0000 0.1942 1
Ni1 Ni 0.0000 0.0000 0.0000 1
Ni2 Ni 0.0000 0.5000 0.0825 1
Ge1 Ge 0.0000 0.0000 0.3412 1
Ge2 Ge 0.0000 0.0000 0.5000 1
H1 H 0.0000 0.0000 0.0799 1